# 1
30
Lattice="7.197 0.000 0.000 -3.598 6.233 0.000 0.000 0.000 19.940" Properties=species:S:1:pos:R:3 comment="La9Ir2Rh4 PBE optimized geometry" formation_energy_ev_per_atom=-0.66 e_tot_ev_per_cell=-202.89 density_g_cm3=7.6 dos_ef_per_ev_atom=0.47 pbc="T T T"
La -1.205 2.087 4.985
La -2.394 4.146 14.955
La -1.173 2.072 18.273
La -2.391 4.180 8.303
La 1.173 2.072 8.303
La -1.217 6.213 18.273
La 2.381 0.020 11.638
La 1.208 2.052 1.668
La 2.409 0.000 4.985
La 1.205 2.087 14.955
La 4.787 0.000 14.955
La 2.394 4.146 4.985
La 2.391 4.180 18.273
La 1.217 6.213 8.303
La 4.816 0.020 1.668
La 2.425 4.161 11.638
La 5.989 2.052 11.638
La 4.772 4.161 1.668
Ir 0.000 0.000 3.351
Ir 0.000 0.000 6.619
Ir 0.000 0.000 13.322
Ir 0.000 0.000 16.589
Rh 0.000 4.155 0.066
Rh 0.000 4.155 3.251
Rh 0.000 4.155 10.036
Rh 0.000 4.155 13.221
Rh 3.598 2.078 6.719
Rh 3.598 2.078 9.904
Rh 3.598 2.078 16.689
Rh 3.598 2.078 19.874


# 2
7
Lattice="4.531 -2.050 0.000 4.531 2.050 0.000 -0.754 0.000 5.807" Properties=species:S:1:pos:R:3 comment="Zr2Ni3Pt2 PBE optimized geometry" formation_energy_ev_per_atom=-0.59 e_tot_ev_per_cell=-50.69 density_g_cm3=11.5 dos_ef_per_ev_atom=0.81 pbc="T T T"
Zr 1.595 0.000 1.082
Zr 6.713 0.000 4.726
Ni 3.072 0.000 3.379
Ni 4.531 0.000 0.000
Ni 5.237 0.000 2.429
Pt 0.371 0.000 4.143
Pt 7.937 0.000 1.664


# 3
18
Lattice="10.414 0.000 0.000 0.000 10.414 0.000 0.000 0.000 5.131" Properties=species:S:1:pos:R:3 comment="LiY6Er2 PBE optimized geometry" formation_energy_ev_per_atom=0.09 e_tot_ev_per_cell=-98.11 density_g_cm3=5.2 dos_ef_per_ev_atom=1.59 pbc="T T T"
Li 0.000 0.000 0.000
Li 5.207 5.207 2.566
Y 0.168 3.450 0.000
Y 1.528 8.886 2.566
Y 1.756 5.375 2.566
Y 3.450 0.168 0.000
Y 3.679 3.679 0.000
Y 5.039 8.657 2.566
Y 5.375 1.756 2.566
Y 6.735 6.735 0.000
Y 6.963 10.246 0.000
Y 8.657 5.039 2.566
Y 8.886 1.528 2.566
Y 10.246 6.963 0.000
Er 1.968 1.968 2.566
Er 3.239 7.175 0.000
Er 7.175 3.239 0.000
Er 8.446 8.446 2.566


# 4
9
Lattice="-5.034 5.034 2.039 5.034 -5.034 2.039 5.034 5.034 -2.039" Properties=species:S:1:pos:R:3 comment="CsCu4Se4 PBE optimized geometry" e_tot_ev_per_cell=-34.10 raw_formation_energy_ev_per_atom=-0.33 density_g_cm3=5.6 dos_ef_per_ev_atom=0.79 pbc="T T T"
Cs 0.000 0.000 0.000
Cu 6.481 2.057 0.000
Cu 2.057 3.587 0.000
Cu 2.976 1.447 2.039
Cu -1.447 2.976 2.039
Se 4.053 2.125 0.000
Se 2.909 -0.980 2.039
Se 2.125 6.014 0.000
Se 0.980 2.909 2.039


# 5
8
Lattice="-1.875 1.875 8.517 1.875 -1.875 8.517 1.875 1.875 -8.517" Properties=species:S:1:pos:R:3 comment="FeCo2Sn PBE optimized geometry" formation_energy_ev_per_atom=0.50 e_tot_ev_per_cell=-49.36 density_g_cm3=8.1 dos_ef_per_ev_atom=1.28 pbc="T T T"
Fe 0.000 0.000 0.000
Fe 0.000 1.875 4.258
Co 2.813 0.751 -2.129
Co 0.751 0.938 2.129
Co -0.938 1.124 6.387
Co 1.124 0.938 10.646
Sn 1.875 0.000 4.258
Sn 0.000 0.000 8.517


# 6
5
Lattice="5.123 0.000 0.000 0.000 5.123 0.000 0.000 0.000 4.107" Properties=species:S:1:pos:R:3 comment="TcHgS2N PBE optimized geometry" e_tot_ev_per_cell=-18.33 raw_formation_energy_ev_per_atom=1.78 density_g_cm3=5.8 dos_ef_per_ev_atom=0.53 pbc="T T T"
Tc 0.000 0.000 0.000
Hg 2.561 2.561 2.053
S 0.000 2.561 2.053
S 2.561 0.000 2.053
N 2.561 2.561 0.000


# 7
10
Lattice="5.366 -1.627 0.000 5.366 1.627 0.000 -3.907 0.000 6.899" Properties=species:S:1:pos:R:3 comment="Zr4NbN5 PBE optimized geometry" e_tot_ev_per_cell=-101.19 raw_formation_energy_ev_per_atom=-1.53 density_g_cm3=7.3 dos_ef_per_ev_atom=0.33 pbc="T T T"
Zr -0.485 0.000 2.710
Zr 2.396 0.000 1.350
Zr 4.429 0.000 5.549
Zr 7.310 0.000 4.188
Nb 5.366 0.000 0.000
N -2.438 0.000 6.201
N 0.467 0.000 4.821
N 3.413 0.000 3.449
N 6.358 0.000 2.078
N 9.263 0.000 0.698


# 8
16
Lattice="9.827 0.000 0.000 -4.914 8.511 0.000 0.000 0.000 7.327" Properties=species:S:1:pos:R:3 comment="Ba3Ca2Sb3 PBE optimized geometry" e_tot_ev_per_cell=-59.48 raw_formation_energy_ev_per_atom=-0.95 density_g_cm3=4.6 dos_ef_per_ev_atom=0.25 pbc="T T T"
Ba -1.262 2.187 1.832
Ba -3.651 6.324 5.496
Ba 2.525 0.000 1.832
Ba 1.262 2.187 5.496
Ba 7.303 0.000 5.496
Ba 3.651 6.324 1.832
Ca 0.000 5.674 0.000
Ca 0.000 5.674 3.664
Ca 4.914 2.837 0.000
Ca 4.914 2.837 3.664
Sb -1.940 3.360 5.496
Sb -2.974 5.151 1.832
Sb 3.880 0.000 5.496
Sb 1.940 3.360 1.832
Sb 5.948 0.000 1.832
Sb 2.974 5.151 5.496


Q: Number 1 is which compound?
A: La9Ir2Rh4